1.
The following is a DFT calculation (PBE) of a geometry-optimized Li2CeNpO6 structure.

## Properties
As for the magnetic moment: 1.10 μB per formula unit. As for the uncorrected formation energy: -264.4 kJ/mol of atoms. As for the final energy: -7.99 eV per atom.

Cell and atoms, written as CIF:
```
data_Li2CeNpO6
_cell_length_a 5.479
_cell_length_b 5.990
_cell_length_c 9.886
_cell_angle_alpha 90.00
_cell_angle_beta 123.63
_cell_angle_gamma 90.00
_space_group_name_H-M_alt 'P 1 21/c 1'
_space_group_IT_number 14
loop_
_space_group_symop_operation_xyz
'x,y,z'
'-x,-y,-z'
'-x,y+1/2,-z+1/2'
'x,-y+1/2,z+1/2'
loop_
_atom_site_label
_atom_site_type_symbol
_atom_site_fract_x
_atom_site_fract_y
_atom_site_fract_z
Li1 Li 0.237 0.081 0.250
Ce1 Ce 0.500 0.000 0.000
Np1 Np 0.000 0.000 0.500
O1 O 0.104 0.510 0.238
O2 O 0.225 0.203 0.060
O3 O 0.376 0.679 0.068
```

---

2.
The following is a DFT calculation (PBE) of a geometry-optimized Pu2NpN4 structure.

## Properties
As for the magnetic moment: 11.00 μB per formula unit. Its energy relative to the lowest polymorph listed for this composition is 18 meV per atom. As for the uncorrected formation energy: -100.7 kJ/mol of atoms. As for the final energy: -11.74 eV per atom.

Cell and atoms, written as CIF:
```
data_Pu2NpN4
_cell_length_a 11.771
_cell_length_b 3.476
_cell_length_c 5.909
_cell_angle_alpha 90.00
_cell_angle_beta 118.90
_cell_angle_gamma 90.00
_space_group_name_H-M_alt 'C 1 2/m 1'
_space_group_IT_number 12
loop_
_space_group_symop_operation_xyz
'x,y,z'
'-x,-y,-z'
'-x,y,-z'
'x,-y,z'
'x+1/2,y+1/2,z'
'-x+1/2,-y+1/2,-z'
'-x+1/2,y+1/2,-z'
'x+1/2,-y+1/2,z'
loop_
_atom_site_label
_atom_site_type_symbol
_atom_site_fract_x
_atom_site_fract_y
_atom_site_fract_z
Pu1 Pu 0.194 0.000 0.190
Np1 Np 0.000 0.500 0.500
N1 N 0.130 0.500 0.914
N2 N 0.134 0.000 0.505
```